1.
Nd3HoSc6 | PBE | optimized geometry

Geometry as POSCAR:
```
Nd3HoSc6
1.0
-3.306 -5.147 0.163
3.104 -2.282 -9.096
6.513 -3.986 6.268
Nd Sc Ho
6 12 2
direct
0.488 0.275 0.117
0.488 0.883 0.725
0.988 0.725 0.883
0.988 0.117 0.275
0.001 0.412 0.588
0.501 0.588 0.412
0.002 0.739 0.542
0.502 0.542 0.739
0.502 0.261 0.458
0.877 0.457 0.974
0.002 0.458 0.261
0.882 0.059 0.941
0.382 0.941 0.059
0.377 0.543 0.026
0.877 0.026 0.543
0.664 0.245 0.755
0.377 0.974 0.457
0.164 0.755 0.245
0.204 0.216 0.784
0.704 0.784 0.216
```

2.
Nd6HoSc2 (PBE, optimized geometry); distance to the lowest polymorph of the same formula = 0.000 eV/atom
1.0
3.609 0.000 0.001
0.001 8.983 4.126
-0.001 1.674 9.743
Ho Nd Sc
1 6 2
direct
0.000 0.000 0.000
0.000 0.511 0.155
0.000 0.845 0.489
0.500 0.682 0.318
0.500 0.318 0.682
0.000 0.489 0.845
0.000 0.155 0.511
0.500 0.824 0.824
0.500 0.176 0.176

3.
Nd3Ho7Sc | PBE | optimized geometry

Geometry as POSCAR:
```
Nd3Ho7Sc
1.0
8.604 0.000 0.000
0.000 7.010 0.000
0.000 -3.505 6.071
Ho Nd Sc
7 3 1
direct
0.124 0.664 0.832
0.122 0.667 0.333
0.446 0.832 0.168
0.446 0.832 0.665
0.124 0.168 0.336
0.124 0.168 0.832
0.446 0.335 0.168
0.781 0.002 0.501
0.781 0.499 0.501
0.781 0.499 0.998
0.443 0.333 0.667
```

4.
Nd2Ho3Sc (PBE, optimized geometry); distance to the lowest polymorph of the same formula = 0.230 eV/atom
1.0
3.333 0.000 0.000
0.000 6.656 0.000
0.000 0.000 17.206
Ho Nd Sc
6 4 2
direct
0.000 0.256 0.671
0.500 0.244 0.171
0.000 0.000 0.000
0.500 0.500 0.500
0.000 0.744 0.329
0.500 0.756 0.829
0.500 0.748 0.151
0.000 0.752 0.651
0.000 0.248 0.349
0.500 0.252 0.849
0.000 0.000 0.500
0.500 0.500 0.000

5.
NdHo6Sc3 (PBE, optimized geometry); distance to the lowest polymorph of the same formula = 0.000 eV/atom
1.0
-0.807 -3.326 5.187
9.936 -3.766 -0.870
-2.339 8.917 5.355
Ho Sc Nd
12 6 2
direct
0.024 0.706 0.635
0.524 0.294 0.365
0.858 0.973 0.567
0.524 0.635 0.706
0.352 0.955 0.045
0.858 0.433 0.027
0.174 0.686 0.314
0.358 0.027 0.433
0.358 0.567 0.973
0.852 0.045 0.955
0.024 0.365 0.294
0.674 0.314 0.686
0.926 0.691 0.920
0.426 0.309 0.080
0.426 0.920 0.691
0.926 0.080 0.309
0.135 0.385 0.615
0.635 0.615 0.385
0.709 0.788 0.212
0.209 0.212 0.788

6.
Nd2Ho6Sc (PBE, optimized geometry); distance to the lowest polymorph of the same formula = 0.000 eV/atom
1.0
6.034 -0.109 -0.106
1.186 9.790 1.477
1.186 1.794 9.737
Ho Nd Sc
12 4 2
direct
0.327 0.759 0.025
0.989 0.407 0.691
0.511 0.309 0.593
0.173 0.975 0.241
0.636 0.067 0.341
0.673 0.241 0.975
0.364 0.933 0.659
0.827 0.025 0.759
0.489 0.691 0.407
0.864 0.659 0.933
0.136 0.341 0.067
0.011 0.593 0.309
0.438 0.567 0.775
0.062 0.225 0.433
0.562 0.433 0.225
0.938 0.775 0.567
0.750 0.897 0.103
0.250 0.103 0.897

7.
Nd4HoSc3 (PBE, optimized geometry); distance to the lowest polymorph of the same formula = 0.000 eV/atom
1.0
6.128 0.000 0.000
0.000 7.171 0.000
0.000 0.000 11.178
Sc Nd Ho
6 8 2
direct
0.112 0.621 0.744
0.612 0.379 0.244
0.262 0.869 0.500
0.612 0.379 0.756
0.112 0.621 0.256
0.762 0.131 0.000
0.605 0.873 0.249
0.605 0.873 0.751
0.764 0.133 0.500
0.264 0.867 0.000
0.275 0.382 0.000
0.775 0.618 0.500
0.105 0.127 0.749
0.105 0.127 0.251
0.780 0.619 0.000
0.280 0.381 0.500

8.
Nd4Ho4Sc (PBE, optimized geometry); distance to the lowest polymorph of the same formula = 0.621 eV/atom
1.0
-3.618 0.581 3.830
-2.582 -4.269 -1.792
9.488 -4.988 6.051
Ho Sc Nd
4 1 4
direct
0.500 0.000 0.000
0.000 0.500 0.000
0.252 0.252 0.505
0.748 0.748 0.495
0.000 0.000 0.000
0.120 0.120 0.747
0.627 0.627 0.747
0.373 0.880 0.253
0.880 0.373 0.253

9.
Nd2Ho4Sc (PBE, optimized geometry); distance to the lowest polymorph of the same formula = 0.000 eV/atom
1.0
1.258 -4.861 -4.702
0.920 -1.145 6.720
-12.719 2.454 -1.175
Nd Ho Sc
4 8 2
direct
0.716 0.284 0.750
0.427 0.573 0.750
0.284 0.716 0.250
0.573 0.427 0.250
0.178 0.234 0.956
0.721 0.221 0.000
0.279 0.779 0.000
0.766 0.822 0.544
0.221 0.721 0.500
0.822 0.766 0.044
0.234 0.178 0.456
0.779 0.279 0.500
0.851 0.149 0.250
0.149 0.851 0.750

10.
Nd8Ho3Sc2 (PBE, optimized geometry); distance to the lowest polymorph of the same formula = 0.000 eV/atom
1.0
5.960 0.284 1.289
1.911 8.412 1.435
0.779 -0.741 8.678
Nd Ho Sc
8 3 2
direct
0.210 0.556 0.556
0.069 0.849 0.849
0.790 0.444 0.444
0.342 0.419 0.917
0.931 0.151 0.151
0.342 0.917 0.419
0.658 0.581 0.083
0.658 0.083 0.581
0.000 0.749 0.251
0.000 0.251 0.749
0.500 0.000 0.000
0.651 0.709 0.709
0.349 0.291 0.291

11.
NdHo12Sc3 | PBE | optimized geometry

Geometry as POSCAR:
```
NdHo12Sc3
1.0
4.935 0.000 0.000
0.000 4.935 0.000
0.000 0.000 19.682
Ho Sc Nd
12 3 1
direct
0.000 0.500 0.870
0.000 0.500 0.623
0.500 0.500 0.745
0.500 0.000 0.623
0.000 0.500 0.130
0.000 0.500 0.377
0.500 0.000 0.870
0.500 0.000 0.130
0.500 0.000 0.377
0.500 0.500 0.000
0.500 0.500 0.255
0.500 0.500 0.500
0.000 0.000 0.747
0.000 0.000 0.500
0.000 0.000 0.253
0.000 0.000 0.000
```

12.
Nd3Ho2Sc4 | PBE | optimized geometry

Geometry as POSCAR:
```
Nd3Ho2Sc4
1.0
5.573 1.489 1.066
2.129 10.636 0.633
2.129 4.026 9.864
Nd Sc Ho
6 8 4
direct
0.750 0.352 0.648
0.729 0.716 0.957
0.250 0.648 0.352
0.271 0.284 0.043
0.771 0.043 0.284
0.229 0.957 0.716
0.108 0.135 0.405
0.392 0.595 0.865
0.438 0.936 0.172
0.608 0.405 0.135
0.562 0.064 0.828
0.938 0.172 0.936
0.062 0.828 0.064
0.892 0.865 0.595
0.442 0.266 0.500
0.058 0.500 0.734
0.558 0.734 0.500
0.942 0.500 0.266
```

Number 1: formation energy 0.18 eV per atom. Number 2: formation energy 0.16 eV per atom. Number 3: formation energy 0.18 eV per atom. Number 4: formation energy 0.27 eV per atom. Number 5: formation energy 0.16 eV per atom. Number 6: formation energy 0.10 eV per atom. Number 7: formation energy 0.05 eV per atom. Number 8: formation energy 0.65 eV per atom. Number 9: formation energy 0.19 eV per atom. Number 10: formation energy 0.17 eV per atom. Number 11: formation energy 0.04 eV per atom. Number 12: formation energy 0.12 eV per atom.